*one*
Density functional theory data (PBE) for a geometry-optimized HfB4Mo structure.

Structure (extended XYZ):
```
12
Lattice="3.111 0.000 0.000 0.000 5.343 0.000 0.000 0.000 6.734" Properties=species:S:1:pos:R:3 pbc="T T T"
Hf 0.000 0.000 0.000
Hf 1.555 2.672 3.367
B 0.000 1.785 1.688
B 0.000 1.785 5.046
B 0.000 3.559 1.688
B 0.000 3.559 5.046
B 1.555 0.887 1.679
B 1.555 0.887 5.054
B 1.555 4.456 1.679
B 1.555 4.456 5.054
Mo 0.000 0.000 3.367
Mo 1.555 2.672 0.000
```

Summary:
As for the space-group type: Immm, No. 71. The mass density is 9.43 g/cm3.

=====

*two*
Density functional theory data (PBE) for a geometry-optimized HfB4Mo structure.

Structure (extended XYZ):
```
6
Lattice="3.113 0.000 0.000 -1.556 2.696 0.000 0.000 0.000 6.679" Properties=species:S:1:pos:R:3 pbc="T T T"
Hf 0.000 0.000 0.000
B 0.000 1.797 1.709
B 0.000 1.797 4.971
B 1.556 0.899 1.709
B 1.556 0.899 4.971
Mo 0.000 0.000 3.340
```

Summary:
As for the space-group type: P6/mmm, No. 191. The mass density is 9.41 g/cm3.

=====

The most stable of them is *one*.

=====

*one*
Density functional theory data (PBE) for a geometry-optimized HfNiBMo structure.

Structure (extended XYZ):
```
16
Lattice="6.079 0.000 0.000 0.000 6.079 0.000 0.000 0.000 6.079" Properties=species:S:1:pos:R:3 pbc="T T T"
Hf 0.000 0.000 0.000
Hf 0.000 3.039 3.039
Hf 3.039 0.000 3.039
Hf 3.039 3.039 0.000
Ni 0.000 0.000 3.039
Ni 0.000 3.039 0.000
Ni 3.039 0.000 0.000
Ni 3.039 3.039 3.039
B 1.520 1.520 1.520
B 1.520 4.559 4.559
B 4.559 1.520 4.559
B 4.559 4.559 1.520
Mo 1.520 1.520 4.559
Mo 1.520 4.559 1.520
Mo 4.559 1.520 1.520
Mo 4.559 4.559 4.559
```

Summary:
As for the space-group type: F-43m, No. 216. The mass density is 10.17 g/cm3.

=====

*two*
Density functional theory data (PBE) for a geometry-optimized HfNiBMo structure.

Structure (extended XYZ):
```
16
Lattice="5.981 0.000 0.000 0.000 5.981 0.000 0.000 0.000 5.981" Properties=species:S:1:pos:R:3 pbc="T T T"
Hf 0.000 0.000 0.000
Hf 0.000 2.991 2.991
Hf 2.991 0.000 2.991
Hf 2.991 2.991 0.000
Ni 1.495 1.495 4.486
Ni 1.495 4.486 1.495
Ni 4.486 1.495 1.495
Ni 4.486 4.486 4.486
B 1.495 1.495 1.495
B 1.495 4.486 4.486
B 4.486 1.495 4.486
B 4.486 4.486 1.495
Mo 0.000 0.000 2.991
Mo 0.000 2.991 0.000
Mo 2.991 0.000 0.000
Mo 2.991 2.991 2.991
```

Summary:
As for the space-group type: F-43m, No. 216. The mass density is 10.68 g/cm3.

=====

The most stable of them is *two*.

=====

*one*
Density functional theory data (PBE) for a geometry-optimized NaHfNiB structure.

Structure (extended XYZ):
```
16
Lattice="5.949 0.000 0.000 0.000 5.949 0.000 0.000 0.000 5.949" Properties=species:S:1:pos:R:3 pbc="T T T"
Na 0.000 0.000 0.000
Na 0.000 2.974 2.974
Na 2.974 0.000 2.974
Na 2.974 2.974 0.000
Hf 1.487 1.487 4.462
Hf 1.487 4.462 1.487
Hf 4.462 1.487 1.487
Hf 4.462 4.462 4.462
Ni 0.000 0.000 2.974
Ni 0.000 2.974 0.000
Ni 2.974 0.000 0.000
Ni 2.974 2.974 2.974
B 1.487 1.487 1.487
B 1.487 4.462 4.462
B 4.462 1.487 4.462
B 4.462 4.462 1.487
```

Summary:
As for the space-group type: F-43m, No. 216. The mass density is 8.55 g/cm3.

=====

*two*
Density functional theory data (PBE) for a geometry-optimized NaHfNiB structure.

Structure (extended XYZ):
```
16
Lattice="6.112 0.000 0.000 0.000 6.112 0.000 0.000 0.000 6.112" Properties=species:S:1:pos:R:3 pbc="T T T"
Na 0.000 0.000 0.000
Na 0.000 3.056 3.056
Na 3.056 0.000 3.056
Na 3.056 3.056 0.000
Hf 0.000 0.000 3.056
Hf 0.000 3.056 0.000
Hf 3.056 0.000 0.000
Hf 3.056 3.056 3.056
Ni 1.528 1.528 1.528
Ni 1.528 4.584 4.584
Ni 4.584 1.528 4.584
Ni 4.584 4.584 1.528
B 1.528 1.528 4.584
B 1.528 4.584 1.528
B 4.584 1.528 1.528
B 4.584 4.584 4.584
```

Summary:
As for the space-group type: F-43m, No. 216. The mass density is 7.88 g/cm3.

=====

The most stable of them is *two*.

=====

*one*
Density functional theory data (PBE) for a geometry-optimized HfNiB4 structure.

Structure (extended XYZ):
```
6
Lattice="3.123 0.000 0.000 -1.561 2.704 0.000 0.000 0.000 6.159" Properties=species:S:1:pos:R:3 pbc="T T T"
Hf 0.000 0.000 0.000
Ni 0.000 0.000 3.079
B 0.000 1.803 1.683
B 0.000 1.803 4.476
B 1.561 0.901 1.683
B 1.561 0.901 4.476
```

Summary:
As for the space-group type: P6/mmm, No. 191. The mass density is 8.95 g/cm3.

=====

*two*
Density functional theory data (PBE) for a geometry-optimized HfNiB4 structure.

Structure (extended XYZ):
```
12
Lattice="3.085 0.000 0.000 0.000 5.190 0.000 0.000 0.000 6.881" Properties=species:S:1:pos:R:3 pbc="T T T"
Hf 0.000 0.000 0.000
Hf 1.543 2.595 3.441
Ni 0.000 0.000 3.441
Ni 1.543 2.595 0.000
B 0.000 1.674 1.787
B 0.000 1.674 5.094
B 0.000 3.517 1.787
B 0.000 3.517 5.094
B 1.543 0.922 1.654
B 1.543 0.922 5.227
B 1.543 4.269 1.654
B 1.543 4.269 5.227
```

Summary:
As for the space-group type: Immm, No. 71. The mass density is 8.45 g/cm3.

=====

The most stable of them is *one*.

=====

*one*
Density functional theory data (PBE) for a geometry-optimized HfReNiB structure.

Structure (extended XYZ):
```
16
Lattice="6.063 0.000 0.000 0.000 6.063 0.000 0.000 0.000 6.063" Properties=species:S:1:pos:R:3 pbc="T T T"
Hf 0.000 0.000 0.000
Hf 0.000 3.032 3.032
Hf 3.032 0.000 3.032
Hf 3.032 3.032 0.000
Re 1.516 1.516 4.547
Re 1.516 4.547 1.516
Re 4.547 1.516 1.516
Re 4.547 4.547 4.547
Ni 0.000 0.000 3.032
Ni 0.000 3.032 0.000
Ni 3.032 0.000 0.000
Ni 3.032 3.032 3.032
B 1.516 1.516 1.516
B 1.516 4.547 4.547
B 4.547 1.516 4.547
B 4.547 4.547 1.516
```

Summary:
As for the space-group type: F-43m, No. 216. The mass density is 12.94 g/cm3.

=====

*two*
Density functional theory data (PBE) for a geometry-optimized HfReNiB structure.

Structure (extended XYZ):
```
16
Lattice="5.923 0.000 0.000 0.000 5.923 0.000 0.000 0.000 5.923" Properties=species:S:1:pos:R:3 pbc="T T T"
Hf 0.000 0.000 0.000
Hf 0.000 2.961 2.961
Hf 2.961 0.000 2.961
Hf 2.961 2.961 0.000
Re 0.000 0.000 2.961
Re 0.000 2.961 0.000
Re 2.961 0.000 0.000
Re 2.961 2.961 2.961
Ni 1.481 1.481 1.481
Ni 1.481 4.442 4.442
Ni 4.442 1.481 4.442
Ni 4.442 4.442 1.481
B 1.481 1.481 4.442
B 1.481 4.442 1.481
B 4.442 1.481 1.481
B 4.442 4.442 4.442
```

Summary:
As for the space-group type: F-43m, No. 216. The mass density is 13.88 g/cm3.

=====

The most stable of them is *two*.

=====

*one*
Density functional theory data (PBE) for a geometry-optimized HfScNiB structure.

Structure (extended XYZ):
```
16
Lattice="6.170 0.000 0.000 0.000 6.170 0.000 0.000 0.000 6.170" Properties=species:S:1:pos:R:3 pbc="T T T"
Hf 0.000 0.000 0.000
Hf 0.000 3.085 3.085
Hf 3.085 0.000 3.085
Hf 3.085 3.085 0.000
Sc 0.000 0.000 3.085
Sc 0.000 3.085 0.000
Sc 3.085 0.000 0.000
Sc 3.085 3.085 3.085
Ni 1.542 1.542 4.627
Ni 1.542 4.627 1.542
Ni 4.627 1.542 1.542
Ni 4.627 4.627 4.627
B 1.542 1.542 1.542
B 1.542 4.627 4.627
B 4.627 1.542 4.627
B 4.627 4.627 1.542
```

Summary:
As for the space-group type: F-43m, No. 216. The mass density is 8.29 g/cm3.

=====

*two*
Density functional theory data (PBE) for a geometry-optimized HfScNiB structure.

Structure (extended XYZ):
```
16
Lattice="6.128 0.000 0.000 0.000 6.128 0.000 0.000 0.000 6.128" Properties=species:S:1:pos:R:3 pbc="T T T"
Hf 0.000 0.000 0.000
Hf 0.000 3.064 3.064
Hf 3.064 0.000 3.064
Hf 3.064 3.064 0.000
Sc 1.532 1.532 1.532
Sc 1.532 4.596 4.596
Sc 4.596 1.532 4.596
Sc 4.596 4.596 1.532
Ni 1.532 1.532 4.596
Ni 1.532 4.596 1.532
Ni 4.596 1.532 1.532
Ni 4.596 4.596 4.596
B 0.000 0.000 3.064
B 0.000 3.064 0.000
B 3.064 0.000 0.000
B 3.064 3.064 3.064
```

Summary:
As for the space-group type: F-43m, No. 216. The mass density is 8.45 g/cm3.

=====

The most stable of them is *one*.

=====

*one*
Density functional theory data (PBE) for a geometry-optimized HfTaNiB structure.

Structure (extended XYZ):
```
16
Lattice="6.066 0.000 0.000 0.000 6.066 0.000 0.000 0.000 6.066" Properties=species:S:1:pos:R:3 pbc="T T T"
Hf 0.000 0.000 0.000
Hf 0.000 3.033 3.033
Hf 3.033 0.000 3.033
Hf 3.033 3.033 0.000
Ta 0.000 0.000 3.033
Ta 0.000 3.033 0.000
Ta 3.033 0.000 0.000
Ta 3.033 3.033 3.033
Ni 1.516 1.516 1.516
Ni 1.516 4.549 4.549
Ni 4.549 1.516 4.549
Ni 4.549 4.549 1.516
B 1.516 1.516 4.549
B 1.516 4.549 1.516
B 4.549 1.516 1.516
B 4.549 4.549 4.549
```

Summary:
As for the space-group type: F-43m, No. 216. The mass density is 12.76 g/cm3.

=====

*two*
Density functional theory data (PBE) for a geometry-optimized HfTaNiB structure.

Structure (extended XYZ):
```
16
Lattice="6.113 0.000 0.000 0.000 6.113 0.000 0.000 0.000 6.113" Properties=species:S:1:pos:R:3 pbc="T T T"
Hf 0.000 0.000 0.000
Hf 0.000 3.057 3.057
Hf 3.057 0.000 3.057
Hf 3.057 3.057 0.000
Ta 1.528 1.528 1.528
Ta 1.528 4.585 4.585
Ta 4.585 1.528 4.585
Ta 4.585 4.585 1.528
Ni 1.528 1.528 4.585
Ni 1.528 4.585 1.528
Ni 4.585 1.528 1.528
Ni 4.585 4.585 4.585
B 0.000 0.000 3.057
B 0.000 3.057 0.000
B 3.057 0.000 0.000
B 3.057 3.057 3.057
```

Summary:
As for the space-group type: F-43m, No. 216. The mass density is 12.47 g/cm3.

=====

The most stable of them is *one*.